(P)
{
  "formula": "Na3SbSe",
  "functional": "PBE",
  "state": "relaxed",
  "space_group": "No. 221",
  "vol_a3_per_atom": 39.5,
  "lattice": [[5.8225, 0.0000, 0.0000], [0.0000, 5.8225, 0.0000], [0.0000, 0.0000, 5.8225]],
  "species": ["Na", "Na", "Na", "Sb", "Se"],
  "frac_coords": [[0.0000, 0.0000, 0.5000], [0.0000, 0.5000, 0.0000], [0.5000, 0.0000, 0.0000], [0.0000, 0.0000, 0.0000], [0.5000, 0.5000, 0.5000]]
}

(Q)
{
  "formula": "Na3SbSe",
  "functional": "PBE",
  "state": "relaxed",
  "space_group": "No. 221",
  "vol_a3_per_atom": 33.4,
  "lattice": [[5.5065, 0.0000, 0.0000], [0.0000, 5.5065, 0.0000], [0.0000, 0.0000, 5.5065]],
  "species": ["Na", "Na", "Na", "Sb", "Se"],
  "frac_coords": [[0.0000, 0.0000, 0.5000], [0.0000, 0.5000, 0.0000], [0.5000, 0.0000, 0.0000], [0.5000, 0.5000, 0.5000], [0.0000, 0.0000, 0.0000]]
}

Which of them is most stable? Easy: (Q).

(P)
{
  "formula": "Na2SbSe2",
  "functional": "PBE",
  "state": "relaxed",
  "space_group": "No. 127",
  "vol_a3_per_atom": 24.7,
  "lattice": [[7.8645, 0.0000, 0.0000], [0.0000, 7.8645, 0.0000], [0.0000, 0.0000, 3.9923]],
  "species": ["Na", "Na", "Na", "Na", "Sb", "Sb", "Se", "Se", "Se", "Se"],
  "frac_coords": [[0.1354, 0.3646, 0.0000], [0.3646, 0.8646, 0.0000], [0.6354, 0.1354, 0.0000], [0.8646, 0.6354, 0.0000], [0.0000, 0.0000, 0.5000], [0.5000, 0.5000, 0.5000], [0.1743, 0.6743, 0.5000], [0.3257, 0.1743, 0.5000], [0.6743, 0.8257, 0.5000], [0.8257, 0.3257, 0.5000]]
}

(Q)
{
  "formula": "Na2SbSe2",
  "functional": "PBE",
  "state": "relaxed",
  "space_group": "No. 36",
  "vol_a3_per_atom": 28.4,
  "lattice": [[2.3486, -9.8868, 0.0000], [2.3486, 9.8868, 0.0000], [0.0000, 0.0000, 6.1055]],
  "species": ["Na", "Na", "Na", "Na", "Sb", "Sb", "Se", "Se", "Se", "Se"],
  "frac_coords": [[0.0330, 0.9670, 0.5000], [0.1966, 0.8034, 0.7209], [0.8034, 0.1966, 0.2209], [0.9670, 0.0330, 0.0000], [0.3810, 0.6190, 0.6857], [0.6190, 0.3810, 0.1857], [0.1875, 0.8125, 0.2142], [0.4124, 0.5876, 0.2633], [0.5876, 0.4124, 0.7633], [0.8125, 0.1875, 0.7142]]
}

Which of them is most stable? Easy: (P).

(P)
{
  "formula": "Na3Sb2Se4",
  "functional": "PBE",
  "state": "relaxed",
  "space_group": "No. 15",
  "vol_a3_per_atom": 30.4,
  "lattice": [[7.8601, -4.4826, 0.0000], [7.8601, 4.4826, 0.0000], [-3.1381, 0.0000, 7.7543]],
  "species": ["Na", "Na", "Na", "Na", "Na", "Na", "Sb", "Sb", "Sb", "Sb", "Se", "Se", "Se", "Se", "Se", "Se", "Se", "Se"],
  "frac_coords": [[0.1148, 0.8852, 0.7500], [0.2637, 0.5001, 0.0761], [0.5001, 0.2637, 0.5761], [0.4999, 0.7363, 0.4239], [0.7363, 0.4999, 0.9239], [0.8852, 0.1148, 0.2500], [0.0440, 0.3896, 0.6341], [0.3896, 0.0440, 0.1341], [0.6104, 0.9560, 0.8659], [0.9560, 0.6104, 0.3659], [0.1090, 0.2294, 0.9391], [0.2294, 0.1090, 0.4391], [0.2624, 0.5957, 0.4565], [0.4043, 0.7376, 0.0435], [0.5957, 0.2624, 0.9565], [0.7376, 0.4043, 0.5435], [0.7706, 0.8910, 0.5609], [0.8910, 0.7706, 0.0609]]
}

(Q)
{
  "formula": "Na3Sb2Se4",
  "functional": "PBE",
  "state": "relaxed",
  "space_group": "No. 15",
  "vol_a3_per_atom": 30.1,
  "lattice": [[5.9197, -4.8002, 0.0000], [5.9197, 4.8002, 0.0000], [-0.1609, 0.0000, 9.5281]],
  "species": ["Na", "Na", "Na", "Na", "Na", "Na", "Sb", "Sb", "Sb", "Sb", "Se", "Se", "Se", "Se", "Se", "Se", "Se", "Se"],
  "frac_coords": [[0.1263, 0.8737, 0.7500], [0.2636, 0.4770, 0.9312], [0.4770, 0.2636, 0.4312], [0.5230, 0.7364, 0.5688], [0.7364, 0.5230, 0.0688], [0.8737, 0.1263, 0.2500], [0.0497, 0.7281, 0.4048], [0.2719, 0.9503, 0.0952], [0.7281, 0.0497, 0.9048], [0.9503, 0.2719, 0.5952], [0.0155, 0.2175, 0.9317], [0.2175, 0.0155, 0.4317], [0.2281, 0.5236, 0.6052], [0.4764, 0.7719, 0.8948], [0.5236, 0.2281, 0.1052], [0.7719, 0.4764, 0.3948], [0.7825, 0.9845, 0.5683], [0.9845, 0.7825, 0.0683]]
}

Which of them is most stable? Easy: (P).

(P)
{
  "formula": "Na2SiSb",
  "functional": "PBE",
  "state": "relaxed",
  "space_group": "No. 225",
  "vol_a3_per_atom": 23.7,
  "lattice": [[0.0000, 3.6178, 3.6178], [3.6178, 0.0000, 3.6178], [3.6178, 3.6178, 0.0000]],
  "species": ["Na", "Na", "Si", "Sb"],
  "frac_coords": [[0.2500, 0.2500, 0.2500], [0.7500, 0.7500, 0.7500], [0.0000, 0.0000, 0.0000], [0.5000, 0.5000, 0.5000]]
}

(Q)
{
  "formula": "Na2SiSb",
  "functional": "PBE",
  "state": "relaxed",
  "space_group": "No. 122",
  "vol_a3_per_atom": 26.6,
  "lattice": [[-4.4184, 4.4184, 2.7280], [4.4184, -4.4184, 2.7280], [4.4184, 4.4184, -2.7280]],
  "species": ["Na", "Na", "Na", "Na", "Si", "Si", "Sb", "Sb"],
  "frac_coords": [[0.0853, 0.6250, 0.9603], [0.3750, 0.3353, 0.4603], [0.6647, 0.1250, 0.0397], [0.8750, 0.9147, 0.5397], [0.0000, 0.0000, 0.0000], [0.7500, 0.2500, 0.5000], [0.2500, 0.7500, 0.5000], [0.5000, 0.5000, 0.0000]]
}

Which of them is most stable? Easy: (P).